Record 1
K12Te3S5: relaxed, GGA-PBE.

Results
size of the total moment = 4.4 μB per formula unit
Fermi-level density of states = 153.6 states/eV per cell

Lattice parameters (Å, degrees): 16.6824 16.6824 16.6824 109.47 109.47 109.47
Last column: nearest neighbours and their distance in Å.
Atoms (fractional coordinates):
S 0.0000 0.5000 0.5000  6 K 3.12
S 0.2500 0.3750 0.6250  4 K 3.02
S 0.0000 0.0000 0.0000  6 K 3.12
S 0.1250 0.3750 0.2500  4 K 3.02
S 0.8750 0.2500 0.6250  4 K 3.02
S 0.8750 0.6250 0.7500  4 K 3.02
S 0.2500 0.8750 0.1250  4 K 3.02
S 0.5000 0.0000 0.5000  6 K 3.12
S 0.6250 0.7500 0.8750  4 K 3.02
S 0.5000 0.5000 0.0000  6 K 3.12
S 0.0000 0.0000 0.5000  6 K 3.12
S 0.6250 0.8750 0.2500  4 K 3.02
S 0.3750 0.1250 0.7500  4 K 3.02
S 0.7500 0.1250 0.8750  4 K 3.02
S 0.5000 0.0000 0.0000  6 K 3.12
S 0.7500 0.6250 0.3750  4 K 3.02
S 0.0000 0.5000 0.0000  6 K 3.12
S 0.5000 0.5000 0.5000  6 K 3.12
S 0.3750 0.2500 0.1250  4 K 3.02
S 0.1250 0.7500 0.3750  4 K 3.02
K 0.0374 0.4174 0.8272  2 S 3.02-3.12
K 0.9174 0.8272 0.5374  2 S 3.02-3.12
K 0.7101 0.5902 0.1728  2 S 3.02-3.12
K 0.6200 0.0374 0.2101  2 S 3.02-3.12
K 0.2101 0.6728 0.0902  2 S 3.02-3.12
K 0.7899 0.4626 0.3800  2 S 3.02-3.12
K 0.3272 0.7899 0.4098  2 S 3.02-3.12
K 0.0374 0.6200 0.7101  2 S 3.02-3.12
K 0.3272 0.5374 0.4174  2 S 3.02-3.12
K 0.7101 0.1200 0.0374  2 S 3.02-3.12
K 0.4098 0.2899 0.3272  2 S 3.02-3.12
K 0.5374 0.2101 0.1200  2 S 3.02-3.12
K 0.3800 0.9626 0.7899  2 S 3.02-3.12
K 0.3800 0.4174 0.0902  2 S 3.02-3.12
K 0.5826 0.9626 0.6728  2 S 3.02-3.12
K 0.9626 0.3800 0.2899  2 S 3.02-3.12
K 0.8272 0.9174 0.0374  2 S 3.02-3.12
K 0.4626 0.7899 0.8800  2 S 3.02-3.12
K 0.6728 0.2101 0.5902  2 S 3.02-3.12
K 0.2899 0.8800 0.9626  2 S 3.02-3.12
K 0.0902 0.9174 0.3800  2 S 3.02-3.12
K 0.5902 0.7101 0.6728  2 S 3.02-3.12
K 0.0826 0.9098 0.1200  2 S 3.02-3.12
K 0.7899 0.3272 0.9098  2 S 3.02-3.12
K 0.1728 0.0902 0.7101  2 S 3.02-3.12
K 0.4626 0.6728 0.0826  2 S 3.02-3.12
K 0.1200 0.4098 0.0826  2 S 3.02-3.12
K 0.0902 0.1728 0.2101  2 S 3.02-3.12
K 0.9098 0.8272 0.7899  2 S 3.02-3.12
K 0.1728 0.0826 0.9626  2 S 3.02-3.12
K 0.8800 0.5902 0.9174  2 S 3.02-3.12
K 0.1200 0.7101 0.5374  2 S 3.02-3.12
K 0.4098 0.1200 0.5826  2 S 3.02-3.12
K 0.2899 0.4098 0.8272  2 S 3.02-3.12
K 0.9174 0.0902 0.8800  2 S 3.02-3.12
K 0.6728 0.4626 0.5826  2 S 3.02-3.12
K 0.6200 0.5826 0.9098  2 S 3.02-3.12
K 0.2101 0.5374 0.6200  2 S 3.02-3.12
K 0.8272 0.9098 0.2899  2 S 3.02-3.12
K 0.4174 0.3800 0.5902  2 S 3.02-3.12
K 0.5902 0.8800 0.4174  2 S 3.02-3.12
K 0.9098 0.0826 0.6200  2 S 3.02-3.12
K 0.8800 0.2899 0.4626  2 S 3.02-3.12
K 0.9626 0.5826 0.1728  2 S 3.02-3.12
K 0.4174 0.0374 0.3272  2 S 3.02-3.12
K 0.0826 0.1728 0.4626  2 S 3.02-3.12
K 0.5826 0.6200 0.4098  2 S 3.02-3.12
K 0.5374 0.3272 0.9174  2 S 3.02-3.12
Te 0.3750 0.6250 0.2500  8 K 3.65-3.74
Te 0.7500 0.3750 0.1250  8 K 3.65-3.74
Te 0.2500 0.1250 0.3750  8 K 3.65-3.74
Te 0.7500 0.8750 0.6250  8 K 3.65-3.74
Te 0.3750 0.7500 0.6250  8 K 3.65-3.74
Te 0.2500 0.6250 0.8750  8 K 3.65-3.74
Te 0.6250 0.3750 0.7500  8 K 3.65-3.74
Te 0.8750 0.7500 0.1250  8 K 3.65-3.74
Te 0.6250 0.2500 0.3750  8 K 3.65-3.74
Te 0.1250 0.2500 0.8750  8 K 3.65-3.74
Te 0.8750 0.1250 0.2500  8 K 3.65-3.74
Te 0.1250 0.8750 0.7500  8 K 3.65-3.74


Record 2
KTe2S6: relaxed, GGA-PBE.

Results
size of the total moment = 0.0 μB per formula unit
Fermi-level density of states = 1.7 states/eV per cell

Lattice parameters (Å, degrees): 5.3037 8.9231 8.6814 125.09 71.27 121.19
Last column: nearest neighbours and their distance in Å.
Atoms (fractional coordinates):
Te 0.4547 0.6408 0.2689  3 S 2.52-2.71
Te 0.5445 0.3591 0.7310  3 S 2.52-2.71
S 0.9561 0.5948 0.9902  1 S 2.07
S 0.0429 0.4050 0.0098  1 S 2.07
S 0.9399 0.3542 0.4737  1 S 2.12
S 0.0595 0.6457 0.5264  1 S 2.12
S 0.8575 0.8980 0.5409  1 S 2.01
S 0.1419 0.1018 0.4590  1 S 2.01
K 0.0031 0.0007 0.0000  6 S 3.45-3.79


Record 3
K3Te2S4: relaxed, GGA-PBE.

Results
size of the total moment = 0.0 μB per formula unit
Fermi-level density of states = 6.6 states/eV per cell

Lattice parameters (Å, degrees): 9.1804 9.1073 9.1073 64.68 101.09 101.09
Last column: nearest neighbours and their distance in Å.
Atoms (fractional coordinates):
S 0.6702 0.3968 0.2382  1 Te 2.40
S 0.3298 0.6032 0.7618  1 Te 2.40
S 0.9762 0.7690 0.1081  1 Te 2.39
S 0.8298 0.7618 0.6032  1 Te 2.40
S 0.1702 0.2382 0.3968  1 Te 2.40
S 0.4762 0.1081 0.7690  1 Te 2.39
S 0.0238 0.2310 0.8919  1 Te 2.39
S 0.5238 0.8919 0.2310  1 Te 2.39
Te 0.5810 0.8383 0.5154  2 S 2.39-2.40
Te 0.9190 0.4846 0.1617  2 S 2.39-2.40
Te 0.4190 0.1617 0.4846  2 S 2.39-2.40
Te 0.0810 0.5154 0.8383  2 S 2.39-2.40
K 0.8961 0.0192 0.2429  5 S 3.21-3.39
K 0.1039 0.9808 0.7571  5 S 3.21-3.39
K 0.3961 0.2429 0.0192  5 S 3.21-3.39
K 0.7500 0.3968 0.6032  4 S 3.26-3.32, 2 Te 3.63
K 0.6039 0.7571 0.9808  5 S 3.21-3.39
K 0.2500 0.6032 0.3968  4 S 3.26-3.32, 2 Te 3.63


Record 4
KTe3S: relaxed, GGA-PBE.

Results
size of the total moment = 3.3 μB per formula unit
energy above the most stable polymorph in this dataset = 1.2982 eV/atom
Fermi-level density of states = 8.4 states/eV per cell

Lattice parameters (Å, degrees): 6.1256 6.1256 6.1256 90.00 90.00 90.00
Last column: nearest neighbours and their distance in Å.
Atoms (fractional coordinates):
Te 0.0000 0.5000 0.0000  2 K 3.06
Te 0.0000 0.0000 0.5000  2 K 3.06
Te 0.5000 0.0000 0.0000  2 K 3.06
K 0.0000 0.0000 0.0000  6 Te 3.06
S 0.5000 0.5000 0.5000  12 Te 4.33


Record 5
KTe2S: relaxed, GGA-PBE.

Results
size of the total moment = 0.0 μB per formula unit
Fermi-level density of states = 2.4 states/eV per cell

Lattice parameters (Å, degrees): 10.7642 10.7642 10.7642 20.19 20.19 20.19
Last column: nearest neighbours and their distance in Å.
Atoms (fractional coordinates):
S 0.0000 0.0000 0.0000  2 Te 2.52
K 0.5000 0.5000 0.5000  6 Te 3.51, 6 K 3.77
Te 0.0797 0.0797 0.0797  1 S 2.52
Te 0.9203 0.9203 0.9203  1 S 2.52


Record 6
K3TeS: relaxed, GGA-PBE.

Results
size of the total moment = 0.0 μB per formula unit
energy above the most stable polymorph in this dataset = 0.0000 eV/atom
Fermi-level density of states = 3.5 states/eV per cell

Lattice parameters (Å, degrees): 6.1226 7.4200 9.4993 90.00 90.00 61.86
Last column: nearest neighbours and their distance in Å.
Atoms (fractional coordinates):
K 0.6071 0.2684 0.2489  2 S 3.15-3.22
K 0.1322 0.1105 0.5524  2 S 3.01-3.12
K 0.4284 0.8551 0.0524  2 S 3.01-3.12
K 0.6071 0.2684 0.8558  2 S 3.15-3.22
K 0.9535 0.6973 0.3558  2 S 3.15-3.22
K 0.9535 0.6973 0.7489  2 S 3.15-3.22
Te 0.0176 0.3957 0.0524  1 S 3.35, 6 K 3.56-3.61
Te 0.5430 0.5700 0.5524  1 S 3.35, 6 K 3.56-3.61
S 0.9240 0.8780 0.0524  6 K 3.01-3.22, 1 Te 3.35
S 0.6366 0.0877 0.5524  6 K 3.01-3.22, 1 Te 3.35


How do the records compare in volume? In the order shown, they have 893.5; 287.4; 335.1; 229.8; 130.1; 190.3 Å³/f.u..
How do the records compare in E_form (uncorrected)? In the order shown, they have -0.7523; -0.0919; -0.6204; 1.2353; 0.1127; -0.8414 eV per atom.
How do the records compare in theoretical density? In the order shown, they have 1.88; 2.81; 2.48; 3.28; 4.17; 2.42 g/cm³.